(1)
A plane-wave DFT calculation with PBE was carried out for a geometry-optimized Pm4Zn3Rh5 structure.

ΔE_f ... -4.20 eV/f.u.
Magnetic moment ... 0.00 μB per formula unit
Space group ... C2/m

Geometry as POSCAR:
```
Pm4Zn3Rh5
1.0
8.405 -2.324 0.000
8.405 2.324 0.000
-1.312 0.000 7.276
Pm Zn Rh
4 3 5
direct
0.103 0.103 0.333
0.139 0.139 0.846
0.861 0.861 0.154
0.897 0.897 0.667
0.260 0.260 0.221
0.500 0.500 0.000
0.740 0.740 0.779
0.000 0.000 0.000
0.254 0.254 0.587
0.341 0.341 0.916
0.659 0.659 0.084
0.746 0.746 0.413
```

***

(2)
A plane-wave DFT calculation with PBE was carried out for a geometry-optimized PmZnRh structure.

ΔE_f ... -1.02 eV/f.u.
Magnetic moment ... 0.00 μB per formula unit
E above lowest polymorph ... 1.00 eV per formula unit
Space group ... Fddd

Geometry as POSCAR:
```
PmZnRh
1.0
0.000 5.048 7.570
3.424 0.000 7.570
3.424 5.048 0.000
Pm Zn Rh
4 4 4
direct
0.059 0.059 0.691
0.309 0.309 0.941
0.691 0.691 0.059
0.941 0.941 0.309
0.000 0.500 0.500
0.500 0.000 0.500
0.500 0.500 0.000
0.500 0.500 0.500
0.083 0.667 0.667
0.333 0.917 0.917
0.667 0.083 0.083
0.917 0.333 0.333
```

***

(3)
A plane-wave DFT calculation with PBE was carried out for a geometry-optimized Pm2ZnRh2 structure.

ΔE_f ... -2.63 eV/f.u.
Magnetic moment ... 0.00 μB per formula unit
E above lowest polymorph ... 0.88 eV per formula unit
Space group ... Ibam

Geometry as POSCAR:
```
Pm2ZnRh2
1.0
-3.585 5.539 2.863
3.585 -5.539 2.863
3.585 5.539 -2.863
Pm Zn Rh
4 2 4
direct
0.144 0.164 0.308
0.356 0.664 0.019
0.644 0.336 0.981
0.856 0.836 0.692
0.250 0.750 0.500
0.750 0.250 0.500
0.108 0.750 0.859
0.392 0.250 0.642
0.608 0.750 0.358
0.892 0.250 0.141
```

***

(4)
A plane-wave DFT calculation with PBE was carried out for a geometry-optimized Pm5Zn2Rh2 structure.

ΔE_f ... -4.01 eV/f.u.
Magnetic moment ... 0.00 μB per formula unit
Space group ... Cmce

Geometry as POSCAR:
```
Pm5Zn2Rh2
1.0
7.838 -3.720 0.000
7.838 3.720 0.000
0.000 0.000 7.930
Pm Zn Rh
10 4 4
direct
0.000 0.000 0.000
0.044 0.698 0.677
0.198 0.544 0.177
0.302 0.956 0.677
0.456 0.802 0.177
0.500 0.500 0.500
0.544 0.198 0.823
0.698 0.044 0.323
0.802 0.456 0.823
0.956 0.302 0.323
0.213 0.213 0.000
0.287 0.287 0.500
0.713 0.713 0.500
0.787 0.787 0.000
0.127 0.873 0.370
0.373 0.627 0.870
0.627 0.373 0.130
0.873 0.127 0.630
```

***

(5)
A plane-wave DFT calculation with PBE was carried out for a geometry-optimized Pm5ZnRh2 structure.

ΔE_f ... -3.82 eV/f.u.
Magnetic moment ... 0.00 μB per formula unit
Space group ... I4/mcm

Geometry as POSCAR:
```
Pm5ZnRh2
1.0
-3.975 3.975 6.673
3.975 -3.975 6.673
3.975 3.975 -6.673
Pm Zn Rh
10 2 4
direct
0.000 0.000 0.000
0.025 0.525 0.826
0.199 0.025 0.500
0.301 0.801 0.826
0.475 0.301 0.500
0.500 0.500 0.000
0.525 0.699 0.500
0.699 0.199 0.174
0.801 0.975 0.500
0.975 0.475 0.174
0.250 0.250 0.000
0.750 0.750 0.000
0.135 0.365 0.500
0.365 0.865 0.230
0.635 0.135 0.770
0.865 0.635 0.500
```

***

(6)
A plane-wave DFT calculation with PBE was carried out for a geometry-optimized Pm2ZnRh structure.

ΔE_f ... -2.20 eV/f.u.
Magnetic moment ... 0.00 μB per formula unit
E above lowest polymorph ... 0.00 eV per formula unit
Space group ... P2_1/m

Geometry as POSCAR:
```
Pm2ZnRh
1.0
5.835 0.000 0.000
0.000 4.503 0.000
-2.858 0.000 7.313
Pm Zn Rh
4 2 2
direct
0.213 0.250 0.435
0.231 0.250 0.922
0.769 0.750 0.078
0.787 0.750 0.565
0.346 0.750 0.213
0.654 0.250 0.787
0.359 0.750 0.714
0.641 0.250 0.286
```

***

(7)
A plane-wave DFT calculation with PBE was carried out for a geometry-optimized Pm3Zn3Rh2 structure.

ΔE_f ... -4.47 eV/f.u.
Magnetic moment ... 0.00 μB per formula unit
Space group ... Pnma

Geometry as POSCAR:
```
Pm3Zn3Rh2
1.0
7.606 0.000 0.000
0.000 16.089 0.000
0.000 0.000 5.640
Pm Zn Rh
12 12 8
direct
0.038 0.105 0.114
0.038 0.395 0.114
0.167 0.250 0.639
0.333 0.750 0.139
0.462 0.605 0.614
0.462 0.895 0.614
0.538 0.105 0.386
0.538 0.395 0.386
0.667 0.250 0.861
0.833 0.750 0.361
0.962 0.605 0.886
0.962 0.895 0.886
0.171 0.032 0.595
0.171 0.468 0.595
0.176 0.750 0.633
0.324 0.250 0.133
0.329 0.532 0.095
0.329 0.968 0.095
0.671 0.032 0.905
0.671 0.468 0.905
0.676 0.750 0.867
0.824 0.250 0.367
0.829 0.532 0.405
0.829 0.968 0.405
0.122 0.614 0.372
0.122 0.886 0.372
0.378 0.114 0.872
0.378 0.386 0.872
0.622 0.614 0.128
0.622 0.886 0.128
0.878 0.114 0.628
0.878 0.386 0.628
```

***

(8)
A plane-wave DFT calculation with PBE was carried out for a geometry-optimized PmZnRh2 structure.

ΔE_f ... -2.23 eV/f.u.
Magnetic moment ... 0.00 μB per formula unit
Space group ... P4/mmm

Geometry as POSCAR:
```
PmZnRh2
1.0
4.353 0.000 0.000
0.000 4.353 0.000
0.000 0.000 3.681
Pm Zn Rh
1 1 2
direct
0.000 0.000 0.000
0.500 0.500 0.000
0.000 0.500 0.500
0.500 0.000 0.500
```